[1]
This record from Alexandria describes a relaxed structure of MoRu4Pt. The functional is GGA-PBE.

Unit cell a=5.0481 b=5.0481 c=5.0481 alpha=60.00 beta=60.00 gamma=60.00
Element x y z (fractional)
Ru: 0.6255 0.1235 0.6255
Mo: 0.2500 0.2500 0.2500
Ru: 0.6255 0.6255 0.1235
Ru: 0.1235 0.6255 0.6255
Ru: 0.6255 0.6255 0.6255
Pt: 0.0000 0.0000 0.0000

Properties
The energy relative to the elements comes out at 368 meV/atom. The raw total energy comes out at -8.63 eV/atom. The calculation puts the total magnetic moment at 0.0 Bohr magnetons per cell.


[2]
This record from Alexandria describes a relaxed structure of Rb3InBr4. The functional is GGA-PBE.

Unit cell a=6.9164 b=10.1227 c=11.7427 alpha=90.00 beta=90.00 gamma=90.00
Element x y z (fractional)
Rb: 0.5578 0.3312 0.2517
In: 0.5551 0.8276 0.5000
In: 0.0551 0.1724 0.0000
Rb: 0.0578 0.6688 0.2483
Br: 0.5577 0.6708 0.2534
Rb: 0.0579 0.1580 0.5000
Rb: 0.5579 0.8420 0.0000
Br: 0.0577 0.8482 0.0000
Br: 0.1135 0.8264 0.5000
Rb: 0.5578 0.3312 0.7483
Br: 0.6135 0.1736 0.0000
Rb: 0.0578 0.6688 0.7517
Br: 0.0577 0.3292 0.7534
Br: 0.5577 0.6708 0.7466
Br: 0.0577 0.3292 0.2466
Br: 0.5577 0.1518 0.5000

Properties
The raw total energy comes out at -2.98 eV/atom. The calculation puts the total magnetic moment at 0.0 Bohr magnetons per cell. Its excess energy over the best structure of this formula in the dataset is 37 meV/atom. The value obtained for the raw formation energy is -1109 kJ/mol of formula units.


[3]
This record from Alexandria describes a relaxed structure of CrTe2As. The functional is GGA-PBE.

Unit cell a=3.4765 b=3.4761 c=8.0724 alpha=90.00 beta=90.00 gamma=90.00
Each line ends with the local moment (μB).
Element x y z (fractional)
Te: 0.0000 0.0000 0.9118  -0.09
Cr: 0.5000 0.5000 0.6839  2.87
Te: 0.5000 0.5000 0.3272  -0.07
As: 0.0000 0.0000 0.5771  -0.07

Properties
The raw total energy comes out at -5.01 eV/atom. The calculation puts the total magnetic moment at 2.7 Bohr magnetons per cell. The value obtained for the raw formation energy is 48 kJ/mol of formula units.